1.
Below is a geometry-optimized AsHW structure, with properties calculated at the PBE level.

Values from the calculation:
- space group = No. 88
- E above lowest polymorph (kJ/mol of formula units) = 22.4

Cell lengths 10.383, 10.383, 10.383 Å; angles 97.51, 97.51, 137.60 degrees
Element x y z (fractional)
As1 0.013 0.585 0.136
As2 0.051 0.123 0.636
As3 0.085 0.449 0.572
As4 0.289 0.202 0.398
As5 0.298 0.196 0.087
As6 0.304 0.891 0.102
As7 0.377 0.513 0.928
As8 0.391 0.789 0.587
As9 0.609 0.211 0.413
As10 0.623 0.487 0.072
As11 0.696 0.109 0.898
As12 0.702 0.804 0.913
As13 0.711 0.798 0.602
As14 0.915 0.551 0.428
As15 0.949 0.877 0.364
As16 0.987 0.415 0.864
H1 0.061 0.015 0.846
H2 0.154 0.345 0.081
H3 0.155 0.735 0.808
H4 0.235 0.927 0.581
H5 0.285 0.439 0.453
H6 0.331 0.785 0.346
H7 0.427 0.346 0.692
H8 0.485 0.831 0.047
H9 0.515 0.169 0.953
H10 0.573 0.654 0.308
H11 0.669 0.215 0.654
H12 0.715 0.561 0.547
H13 0.765 0.073 0.419
H14 0.845 0.265 0.192
H15 0.846 0.655 0.919
H16 0.939 0.985 0.154
W1 0.017 0.192 0.408
W2 0.110 0.517 0.325
W3 0.113 0.879 0.882
W4 0.269 0.387 0.266
W5 0.285 0.610 0.092
W6 0.308 0.215 0.825
W7 0.379 0.998 0.766
W8 0.498 0.231 0.618
W9 0.502 0.769 0.382
W10 0.621 0.002 0.234
W11 0.692 0.785 0.175
W12 0.715 0.390 0.908
W13 0.731 0.613 0.734
W14 0.887 0.121 0.118
W15 0.890 0.483 0.675
W16 0.983 0.808 0.592


2.
Below is a geometry-optimized Y2As2H structure, with properties calculated at the PBE level.

Values from the calculation:
- space group = No. 127
- E above lowest polymorph (kJ/mol of formula units) = 222.3

Cell lengths 7.762, 7.762, 3.718 Å; angles 90.00, 90.00, 90.00 degrees
Element x y z (fractional)
Y1 0.157 0.343 0.000
Y2 0.343 0.843 0.000
Y3 0.657 0.157 0.000
Y4 0.843 0.657 0.000
As1 0.150 0.650 0.500
As2 0.350 0.150 0.500
As3 0.650 0.850 0.500
As4 0.850 0.350 0.500
H1 0.000 0.000 0.500
H2 0.500 0.500 0.500


3.
Below is a geometry-optimized Y2As2H structure, with properties calculated at the PBE level.

Values from the calculation:
- space group = No. 36
- E above lowest polymorph (kJ/mol of formula units) = 0.0

Cell lengths 7.481, 7.481, 6.924 Å; angles 90.00, 90.00, 147.68 degrees
Element x y z (fractional)
Y1 0.054 0.946 0.500
Y2 0.335 0.665 0.385
Y3 0.665 0.335 0.885
Y4 0.946 0.054 0.000
As1 0.300 0.700 0.969
As2 0.459 0.541 0.713
As3 0.541 0.459 0.213
As4 0.700 0.300 0.469
H1 0.096 0.904 0.832
H2 0.904 0.096 0.332


4.
Below is a geometry-optimized YAsH structure, with properties calculated at the PBE level.

Values from the calculation:
- space group = No. 2
- E above lowest polymorph (kJ/mol of formula units) = 0.0

Cell lengths 3.890, 5.089, 5.526 Å; angles 93.00, 110.56, 90.08 degrees
Element x y z (fractional)
Y1 0.144 0.269 0.287
Y2 0.856 0.731 0.713
As1 0.429 0.192 0.855
As2 0.571 0.808 0.145
H1 0.280 0.607 0.560
H2 0.720 0.393 0.440


5.
Below is a geometry-optimized YAsH structure, with properties calculated at the PBE level.

Values from the calculation:
- space group = No. 2
- E above lowest polymorph (kJ/mol of formula units) = 13.3

Cell lengths 7.265, 8.557, 20.879 Å; angles 87.54, 81.91, 89.22 degrees
Element x y z (fractional)
Y1 0.030 0.115 0.084
Y2 0.095 0.600 0.082
Y3 0.108 0.875 0.419
Y4 0.149 0.410 0.421
Y5 0.153 0.351 0.244
Y6 0.171 0.862 0.245
Y7 0.331 0.403 0.744
Y8 0.342 0.897 0.765
Y9 0.384 0.359 0.570
Y10 0.398 0.894 0.584
Y11 0.441 0.110 0.916
Y12 0.458 0.620 0.924
Y13 0.542 0.380 0.076
Y14 0.559 0.890 0.084
Y15 0.602 0.106 0.416
Y16 0.616 0.641 0.430
Y17 0.658 0.103 0.235
Y18 0.669 0.597 0.256
Y19 0.829 0.138 0.755
Y20 0.847 0.649 0.756
Y21 0.851 0.590 0.579
Y22 0.892 0.125 0.581
Y23 0.905 0.400 0.918
Y24 0.970 0.885 0.916
As1 0.019 0.363 0.661
As2 0.050 0.909 0.677
As3 0.130 0.156 0.836
As4 0.149 0.632 0.837
As5 0.228 0.355 0.994
As6 0.232 0.649 0.512
As7 0.246 0.119 0.496
As8 0.255 0.876 0.005
As9 0.344 0.116 0.160
As10 0.378 0.620 0.170
As11 0.462 0.329 0.323
As12 0.471 0.865 0.336
As13 0.529 0.135 0.664
As14 0.538 0.671 0.677
As15 0.622 0.380 0.830
As16 0.656 0.884 0.840
As17 0.745 0.124 0.995
As18 0.754 0.881 0.504
As19 0.768 0.351 0.488
As20 0.772 0.645 0.006
As21 0.851 0.368 0.163
As22 0.870 0.844 0.164
As23 0.950 0.091 0.323
As24 0.981 0.637 0.339
H1 0.029 0.311 0.803
H2 0.066 0.303 0.343
H3 0.101 0.783 0.549
H4 0.109 0.213 0.973
H5 0.130 0.058 0.713
H6 0.260 0.943 0.870
H7 0.261 0.429 0.129
H8 0.363 0.190 0.285
H9 0.382 0.565 0.031
H10 0.385 0.492 0.650
H11 0.407 0.451 0.460
H12 0.471 0.776 0.201
H13 0.529 0.224 0.799
H14 0.593 0.549 0.540
H15 0.615 0.508 0.350
H16 0.618 0.435 0.969
H17 0.637 0.810 0.715
H18 0.739 0.571 0.871
H19 0.740 0.057 0.130
H20 0.870 0.942 0.287
H21 0.891 0.787 0.027
H22 0.899 0.217 0.451
H23 0.934 0.697 0.657
H24 0.971 0.689 0.197


6.
Below is a geometry-optimized YAs3H structure, with properties calculated at the PBE level.

Values from the calculation:
- space group = No. 221
- E above lowest polymorph (kJ/mol of formula units) = 0.0

Cell lengths 4.410, 4.410, 4.410 Å; angles 90.00, 90.00, 90.00 degrees
Element x y z (fractional)
Y1 0.000 0.000 0.000
As1 0.000 0.500 0.500
As2 0.500 0.000 0.500
As3 0.500 0.500 0.000
H1 0.500 0.500 0.500


7.
Below is a geometry-optimized YAs2H structure, with properties calculated at the PBE level.

Values from the calculation:
- space group = No. 225
- E above lowest polymorph (kJ/mol of formula units) = 172.5

Cell lengths 4.795, 4.795, 4.795 Å; angles 60.00, 60.00, 60.00 degrees
Element x y z (fractional)
Y1 0.000 0.000 0.000
As1 0.250 0.250 0.250
As2 0.750 0.750 0.750
H1 0.500 0.500 0.500


8.
Below is a geometry-optimized YAsH structure, with properties calculated at the PBE level.

Values from the calculation:
- space group = No. 187
- E above lowest polymorph (kJ/mol of formula units) = 14.8

Cell lengths 3.698, 3.698, 4.273 Å; angles 90.00, 90.00, 120.00 degrees
Element x y z (fractional)
Y1 0.000 0.000 0.000
As1 0.333 0.667 0.500
H1 0.667 0.333 0.000


9.
Below is a geometry-optimized Y2As2H structure, with properties calculated at the PBE level.

Values from the calculation:
- space group = No. 127
- E above lowest polymorph (kJ/mol of formula units) = 47.5

Cell lengths 7.083, 7.083, 4.116 Å; angles 90.00, 90.00, 90.00 degrees
Element x y z (fractional)
Y1 0.182 0.318 0.000
Y2 0.318 0.818 0.000
Y3 0.682 0.182 0.000
Y4 0.818 0.682 0.000
As1 0.126 0.626 0.500
As2 0.374 0.126 0.500
As3 0.626 0.874 0.500
As4 0.874 0.374 0.500
H1 0.000 0.000 0.000
H2 0.500 0.500 0.000


10.
Below is a geometry-optimized Y2As2H structure, with properties calculated at the PBE level.

Values from the calculation:
- space group = No. 139
- E above lowest polymorph (kJ/mol of formula units) = 281.2

Cell lengths 5.880, 5.880, 5.880 Å; angles 126.30, 126.30, 79.40 degrees
Element x y z (fractional)
Y1 0.250 0.750 0.500
Y2 0.750 0.250 0.500
As1 0.141 0.141 0.000
As2 0.859 0.859 0.000
H1 0.500 0.500 0.000


11.
Below is a geometry-optimized Y4As2H structure, with properties calculated at the PBE level.

Values from the calculation:
- energy (eV per formula unit) = -44.75
- space group = No. 139

Cell lengths 8.583, 8.583, 8.583 Å; angles 150.82, 150.82, 41.74 degrees
Element x y z (fractional)
Y1 0.000 0.500 0.500
Y2 0.180 0.180 0.000
Y3 0.500 0.000 0.500
Y4 0.820 0.820 0.000
As1 0.364 0.364 0.000
As2 0.636 0.636 0.000
H1 0.000 0.000 0.000


12.
Below is a geometry-optimized YAs2H2 structure, with properties calculated at the PBE level.

Values from the calculation:
- energy (eV per formula unit) = -22.17
- space group = No. 139

Cell lengths 5.340, 5.340, 5.340 Å; angles 136.80, 136.80, 62.75 degrees
Element x y z (fractional)
Y1 0.000 0.000 0.000
As1 0.351 0.351 0.000
As2 0.649 0.649 0.000
H1 0.250 0.750 0.500
H2 0.750 0.250 0.500


13.
Below is a geometry-optimized YAs2H structure, with properties calculated at the PBE level.

Values from the calculation:
- space group = No. 122
- E above lowest polymorph (kJ/mol of formula units) = 0.0

Cell lengths 5.663, 5.663, 5.663 Å; angles 110.32, 110.32, 107.79 degrees
Element x y z (fractional)
Y1 0.000 0.000 0.000
Y2 0.750 0.250 0.500
As1 0.237 0.125 0.612
As2 0.375 0.763 0.888
As3 0.513 0.625 0.388
As4 0.875 0.487 0.112
H1 0.250 0.750 0.500
H2 0.500 0.500 0.000


14.
Below is a geometry-optimized YAsH2 structure, with properties calculated at the PBE level.

Values from the calculation:
- space group = No. 122
- E above lowest polymorph (kJ/mol of formula units) = 0.0

Cell lengths 7.362, 7.362, 7.362 Å; angles 147.82, 147.82, 46.16 degrees
Element x y z (fractional)
Y1 0.000 0.000 0.000
Y2 0.750 0.250 0.500
As1 0.250 0.750 0.500
As2 0.500 0.500 0.000
H1 0.121 0.625 0.996
H2 0.375 0.371 0.496
H3 0.629 0.125 0.004
H4 0.875 0.879 0.504


15.
Below is a geometry-optimized YAsH2 structure, with properties calculated at the PBE level.

Values from the calculation:
- space group = No. 225
- E above lowest polymorph (kJ/mol of formula units) = 4.3

Cell lengths 4.153, 4.153, 4.153 Å; angles 60.00, 60.00, 60.00 degrees
Element x y z (fractional)
Y1 0.000 0.000 0.000
As1 0.500 0.500 0.500
H1 0.250 0.250 0.250
H2 0.750 0.750 0.750


16.
Below is a geometry-optimized YAs3H structure, with properties calculated at the PBE level.

Values from the calculation:
- space group = No. 221
- E above lowest polymorph (kJ/mol of formula units) = 489.2

Cell lengths 5.467, 5.467, 5.467 Å; angles 90.00, 90.00, 90.00 degrees
Element x y z (fractional)
Y1 0.000 0.000 0.000
As1 0.000 0.000 0.500
As2 0.000 0.500 0.000
As3 0.500 0.000 0.000
H1 0.500 0.500 0.500


17.
Below is a geometry-optimized ZnAsH structure, with properties calculated at the PBE level.

Values from the calculation:
- space group = No. 62
- E above lowest polymorph (kJ/mol of formula units) = 62.4

Cell lengths 7.875, 3.710, 7.590 Å; angles 90.00, 90.00, 90.00 degrees
Element x y z (fractional)
Zn1 0.104 0.250 0.185
Zn2 0.396 0.750 0.685
Zn3 0.604 0.250 0.315
Zn4 0.896 0.750 0.815
As1 0.187 0.750 0.919
As2 0.313 0.250 0.419
As3 0.687 0.750 0.581
As4 0.813 0.250 0.081
H1 0.205 0.250 0.940
H2 0.295 0.750 0.440
H3 0.705 0.250 0.560
H4 0.795 0.750 0.060


18.
Below is a geometry-optimized Zn2As4H structure, with properties calculated at the PBE level.

Values from the calculation:
- energy (eV per formula unit) = -22.70
- space group = No. 139

Cell lengths 9.069, 9.069, 9.069 Å; angles 154.22, 154.22, 36.78 degrees
Element x y z (fractional)
Zn1 0.104 0.104 0.000
Zn2 0.896 0.896 0.000
As1 0.000 0.500 0.500
As2 0.243 0.243 0.000
As3 0.500 0.000 0.500
As4 0.757 0.757 0.000
H1 0.500 0.500 0.000


19.
Below is a geometry-optimized Zn3AsH structure, with properties calculated at the PBE level.

Values from the calculation:
- space group = No. 221
- E above lowest polymorph (kJ/mol of formula units) = 0.0

Cell lengths 4.143, 4.143, 4.143 Å; angles 90.00, 90.00, 90.00 degrees
Element x y z (fractional)
Zn1 0.000 0.000 0.500
Zn2 0.000 0.500 0.000
Zn3 0.500 0.000 0.000
As1 0.500 0.500 0.500
H1 0.000 0.000 0.000


20.
Below is a geometry-optimized ZnAsH3 structure, with properties calculated at the PBE level.

Values from the calculation:
- space group = No. 221
- E above lowest polymorph (kJ/mol of formula units) = 0.0

Cell lengths 3.782, 3.782, 3.782 Å; angles 90.00, 90.00, 90.00 degrees
Element x y z (fractional)
Zn1 0.000 0.000 0.000
As1 0.500 0.500 0.500
H1 0.000 0.500 0.500
H2 0.500 0.000 0.500
H3 0.500 0.500 0.000